# SrCd2Ag4

A geometry-optimized SrCd2Ag4 structure (PBE, the Alexandria database).

- final energy (eV per cell) = -13.870
- calculated formation energy (meV per atom) = 149.6

Cell: 6.680 6.680 6.680 Å, 101.10 101.10 127.95°
Element x y z (fractional)
1 Cd 0.250 0.750 0.500
2 Cd 0.750 0.250 0.500
3 Ag 0.500 0.276 0.776
4 Ag 0.724 0.500 0.224
5 Ag 0.276 0.500 0.776
6 Ag 0.500 0.724 0.224
7 Sr 0.000 0.000 0.000